Computed, not measured: a relaxed MnOF crystal at the PBE with a Hubbard U level of DFT.

Cell lengths 4.592, 5.693, 10.337 Å; angles 89.83, 89.32, 89.72 degrees
Positions (direct):
Mn: 0.000 0.000 0.000
Mn: 0.001 0.005 0.498
Mn: 0.008 0.307 0.752
Mn: 0.496 0.502 0.978
Mn: 0.499 0.808 0.727
Mn: 0.528 0.826 0.229
Mn: 0.539 0.523 0.478
Mn: 0.992 0.298 0.245
O: 0.211 0.270 0.912
O: 0.218 0.037 0.158
O: 0.222 0.039 0.658
O: 0.709 0.538 0.815
O: 0.714 0.766 0.065
O: 0.728 0.773 0.568
O: 0.741 0.557 0.316
O: 0.783 0.066 0.342
F: 0.243 0.768 0.883
F: 0.248 0.527 0.146
F: 0.260 0.284 0.415
F: 0.263 0.536 0.630
F: 0.278 0.793 0.389
F: 0.730 0.262 0.083
F: 0.751 0.034 0.842
F: 0.771 0.279 0.592

Summary:
**N(E_F)**: 0.219 states/eV/atom
**DFT total energy**: -0.493 Ry/atom
**Mass density**: 4.4 Mg/m³
**Total moment**: 4.000 μB/f.u.